Entry 1:
Density functional theory data (PBE) for an optimized crystal structure of Pu3Ge4Rh.

```
Pu3Ge4Rh
1.0
4.034 0.000 0.000
0.000 8.173 0.000
-2.017 -4.086 5.632
Rh Pu Ge
1 3 4
direct
0.500 0.000 0.000
0.811 0.811 0.621
0.189 0.189 0.379
0.000 0.500 0.000
0.616 0.852 0.233
0.616 0.381 0.233
0.384 0.619 0.767
0.384 0.148 0.767
```

Values from the calculation:
SG: Immm
ΔH_f (0 K) (meV per atom): -309

Entry 2:
Density functional theory data (PBE) for an optimized crystal structure of Pu6Ge2Rh.

```
Pu6Ge2Rh
1.0
-2.908 -2.316 -3.314
4.735 -6.908 0.674
-5.106 -2.861 6.558
Pu Rh Ge
12 2 4
direct
0.535 0.481 0.351
0.047 0.687 0.619
0.017 0.654 0.901
0.483 0.154 0.599
0.983 0.346 0.099
0.547 0.813 0.119
0.453 0.187 0.881
0.517 0.846 0.401
0.965 0.981 0.149
0.465 0.519 0.649
0.035 0.019 0.851
0.953 0.313 0.381
0.500 0.500 0.000
0.000 0.000 0.500
0.966 0.339 0.732
0.534 0.839 0.768
0.466 0.161 0.232
0.034 0.661 0.268
```

Values from the calculation:
SG: P2_1/c
ΔH_f (0 K) (meV per atom): -258
Relative energy among the computed polymorphs (eV per atom): 0.000

Entry 3:
Density functional theory data (PBE) for an optimized crystal structure of Pu8GeRh6.

```
Pu8GeRh6
1.0
6.585 0.000 0.000
3.293 5.703 0.000
3.293 1.901 9.069
Pu Rh Ge
8 6 1
direct
0.759 0.120 0.635
0.241 0.880 0.365
0.487 0.759 0.635
0.120 0.487 0.635
0.880 0.513 0.365
0.667 0.667 0.000
0.513 0.241 0.365
0.333 0.333 0.000
0.786 0.341 0.811
0.937 0.214 0.189
0.063 0.786 0.811
0.659 0.937 0.189
0.214 0.659 0.189
0.341 0.063 0.811
0.000 0.000 0.000
```

Values from the calculation:
SG: R-3
ΔH_f (0 K) (meV per atom): -203

Entry 4:
Density functional theory data (PBE) for an optimized crystal structure of PuGe2Rh5.

```
PuGe2Rh5
1.0
-0.142 0.469 3.822
-3.953 -4.382 2.333
3.025 -4.905 2.656
Rh Pu Ge
5 1 2
direct
0.360 0.839 0.442
0.000 0.500 0.500
0.640 0.161 0.558
0.640 0.558 0.161
0.360 0.442 0.839
0.000 0.000 0.000
0.245 0.255 0.255
0.755 0.745 0.745
```

Values from the calculation:
SG: Immm
ΔH_f (0 K) (meV per atom): -469

Entry 5:
Density functional theory data (PBE) for an optimized crystal structure of Pu3Ge2Rh7.

```
Pu3Ge2Rh7
1.0
5.476 0.000 0.000
2.738 4.742 0.000
2.738 1.581 8.132
Rh Ge Pu
7 2 3
direct
0.419 0.419 0.239
0.581 0.077 0.761
0.923 0.419 0.239
0.419 0.923 0.239
0.077 0.581 0.761
0.500 0.500 0.500
0.581 0.581 0.761
0.666 0.666 0.003
0.334 0.334 0.997
0.858 0.858 0.425
0.000 0.000 0.000
0.142 0.142 0.575
```

Values from the calculation:
SG: R-3m
ΔH_f (0 K) (meV per atom): -531

Entry 6:
Density functional theory data (PBE) for an optimized crystal structure of Pu2Ge4Rh5.

```
Pu2Ge4Rh5
1.0
5.109 0.000 2.439
2.555 4.824 1.219
-0.623 0.000 7.877
Pu Ge Rh
2 4 5
direct
0.120 0.000 0.760
0.880 0.000 0.240
0.524 0.689 0.262
0.476 0.311 0.738
0.213 0.311 0.262
0.787 0.689 0.738
0.500 0.500 0.000
0.500 0.000 0.000
0.750 0.500 0.500
0.250 0.500 0.500
0.000 0.500 0.000
```

Values from the calculation:
SG: Fmmm
ΔH_f (0 K) (meV per atom): -601

Entry 7:
Density functional theory data (PBE) for an optimized crystal structure of Pu4Ge3Rh.

```
Pu4Ge3Rh
1.0
4.327 0.000 0.000
0.000 4.046 0.000
0.000 0.000 9.282
Pu Ge Rh
4 3 1
direct
0.000 0.000 0.490
0.500 0.000 0.267
0.000 0.500 0.758
0.500 0.500 0.989
0.000 0.000 0.019
0.000 0.500 0.238
0.500 0.000 0.717
0.500 0.500 0.523
```

Values from the calculation:
SG: Pmm2
ΔH_f (0 K) (meV per atom): -409
Relative energy among the computed polymorphs (eV per atom): 0.000

Entry 8:
Density functional theory data (PBE) for an optimized crystal structure of Pu4Ge6Rh7.

```
Pu4Ge6Rh7
1.0
-2.953 -6.642 -0.913
7.201 -0.329 -1.306
-1.133 2.252 6.878
Ge Pu Rh
6 4 7
direct
0.320 0.000 0.320
0.320 0.320 0.000
0.680 0.680 0.000
0.000 0.680 0.680
0.000 0.320 0.320
0.680 0.000 0.680
0.000 0.000 0.500
0.000 0.500 0.000
0.500 0.500 0.500
0.500 0.000 0.000
0.000 0.000 0.000
0.750 0.250 0.500
0.500 0.750 0.250
0.250 0.750 0.500
0.500 0.250 0.750
0.250 0.500 0.750
0.750 0.500 0.250
```

Values from the calculation:
SG: Im-3m
ΔH_f (0 K) (meV per atom): -643

Entry 9:
Density functional theory data (PBE) for an optimized crystal structure of Pu6Ge2Rh.

```
Pu6Ge2Rh
1.0
8.997 0.000 -0.635
0.000 5.479 0.000
-1.815 0.000 8.680
Pu Rh Ge
12 2 4
direct
0.727 0.266 0.923
0.227 0.234 0.423
0.199 0.626 0.674
0.801 0.374 0.326
0.773 0.766 0.577
0.573 0.261 0.591
0.273 0.734 0.077
0.699 0.874 0.174
0.927 0.761 0.909
0.427 0.739 0.409
0.073 0.239 0.091
0.301 0.126 0.826
0.000 0.000 0.500
0.500 0.500 0.000
0.939 0.273 0.716
0.439 0.227 0.216
0.561 0.773 0.784
0.061 0.727 0.284
```

Values from the calculation:
SG: P2_1/c
ΔH_f (0 K) (meV per atom): -164
Relative energy among the computed polymorphs (eV per atom): 0.094

Entry 10:
Density functional theory data (PBE) for an optimized crystal structure of Pu3Ge4Rh2.

```
Pu3Ge4Rh2
1.0
-1.090 -3.084 -2.740
-1.498 -1.450 5.550
-5.832 4.924 -3.223
Ge Rh Pu
4 2 3
direct
0.908 0.816 0.606
0.716 0.432 0.074
0.092 0.184 0.394
0.284 0.568 0.926
0.693 0.386 0.362
0.307 0.614 0.638
0.615 0.230 0.687
0.000 0.000 0.000
0.385 0.770 0.313
```

Values from the calculation:
SG: C2/m
ΔH_f (0 K) (meV per atom): -579

Entry 11:
Density functional theory data (PBE) for an optimized crystal structure of Pu5Ge2Rh.

```
Pu5Ge2Rh
1.0
5.040 0.000 0.000
2.520 4.364 0.000
2.520 1.455 8.182
Pu Ge Rh
5 2 1
direct
0.500 0.500 0.500
0.231 0.231 0.306
0.629 0.629 0.112
0.371 0.371 0.888
0.769 0.769 0.694
0.894 0.894 0.317
0.106 0.106 0.683
0.000 0.000 0.000
```

Values from the calculation:
SG: R-3m
ΔH_f (0 K) (meV per atom): -311
Relative energy among the computed polymorphs (eV per atom): 0.026

Entry 12:
Density functional theory data (PBE) for an optimized crystal structure of Pu2Ge5Rh3.

```
Pu2Ge5Rh3
1.0
-5.369 -2.380 0.265
-1.916 -3.757 -7.350
0.548 -8.349 1.342
Ge Rh Pu
10 6 4
direct
0.964 0.786 0.786
0.250 0.500 0.500
0.750 0.500 0.500
0.036 0.214 0.214
0.594 0.738 0.074
0.094 0.074 0.738
0.536 0.214 0.214
0.406 0.262 0.926
0.464 0.786 0.786
0.906 0.926 0.262
0.250 0.000 0.000
0.857 0.743 0.543
0.357 0.543 0.743
0.143 0.257 0.457
0.643 0.457 0.257
0.750 0.000 0.000
0.362 0.867 0.408
0.862 0.408 0.867
0.138 0.592 0.133
0.638 0.133 0.592
```

Values from the calculation:
SG: Ibam
ΔH_f (0 K) (meV per atom): -606

What did we get for E_tot? Answer: -71.3, -104.9, -166.4, -64.1, -110.1, -90.5, -81.8, -147.4, -104.1, -81.4, -90.7, -79.9 eV per formula unit, in the order shown.